1.
Crystalline LiHfPd4 at its relaxed geometry, computed with GGA-PBE.

a b c (Å): 9.442 3.621 5.818
angles (deg): 90.00 108.52 90.00
Space group C2/m (No. 12)
Unique sites:
Li: 0.000 0.000 0.000 [2 per cell]
Hf: 0.000 0.000 0.500 [2 per cell]
Pd: 0.156 0.500 0.836 [4 per cell]
Pd: 0.162 0.500 0.324 [4 per cell]

- DOS at the Fermi energy (states/eV/f.u.) = 2.314
- calculated total energy (eV/atom) = -6.028
- energy relative to the lowest polymorph listed for this composition (meV per atom) = 0
- mass density (g/cm³) = 10.8



2.
Crystalline Ti4Ni4Ge7 at its relaxed geometry, computed with GGA-PBE.

a b c (Å): 12.975 12.975 5.107
angles (deg): 90.00 90.00 90.00
Space group I4/mmm (No. 139)
Unique sites:
Ti: 0.000 0.188 0.000 [8 per cell]
Ti: 0.135 0.135 0.500 [8 per cell]
Ni: 0.150 0.350 0.250 [16 per cell]
Ge: 0.000 0.000 0.252 [4 per cell]
Ge: 0.000 0.280 0.500 [8 per cell]
Ge: 0.000 0.404 0.000 [8 per cell]
Ge: 0.201 0.201 0.000 [8 per cell]

- DOS at the Fermi energy (states/eV/f.u.) = 9.005
- calculated total energy (eV/atom) = -6.319
- mass density (g/cm³) = 7.2



3.
Crystalline LiNi2As at its relaxed geometry, computed with GGA-PBE.

a b c (Å): 6.652 6.652 5.066
angles (deg): 90.00 90.00 90.00
Space group I-42d (No. 122)
Unique sites:
Li: 0.000 0.000 0.000 [4 per cell]
Ni: 0.212 0.250 0.625 [8 per cell]
As: 0.000 0.000 0.500 [4 per cell]

- DOS at the Fermi energy (states/eV/f.u.) = 1.784
- calculated total energy (eV/atom) = -4.527
- mass density (g/cm³) = 5.9



4.
Crystalline CsRb2GaSn2 at its relaxed geometry, computed with GGA-PBE.

a b c (Å): 4.622 9.952 11.780
angles (deg): 90.00 90.00 90.00
Space group Pmc2_1 (No. 26)
Unique sites:
Cs: 0.000 0.046 0.000 [2 per cell]
Rb: 0.000 0.324 0.599 [2 per cell]
Rb: 0.500 0.404 0.914 [2 per cell]
Ga: 0.500 0.198 0.271 [2 per cell]
Sn: 0.000 0.343 0.262 [2 per cell]
Sn: 0.500 0.069 0.743 [2 per cell]

- DOS at the Fermi energy (states/eV/f.u.) = 5.676
- calculated total energy (eV/atom) = -2.354
- mass density (g/cm³) = 3.7



5.
Crystalline TaOsO2 at its relaxed geometry, computed with GGA-PBE.

a b c (Å): 5.650 5.650 5.650
angles (deg): 90.00 90.00 90.00
Space group Fm-3m (No. 225)
Unique sites:
Ta: 0.000 0.000 0.000 [4 per cell]
Os: 0.000 0.000 0.500 [4 per cell]
O: 0.250 0.250 0.250 [8 per cell]

- DOS at the Fermi energy (states/eV/f.u.) = 4.976
- calculated total energy (eV/atom) = -8.140
- energy relative to the lowest polymorph listed for this composition (meV per atom) = 1276
- energy relative to the elements, uncorrected (eV/atom) = 0.11
- mass density (g/cm³) = 14.9



6.
Crystalline MgBiRh2O6 at its relaxed geometry, computed with GGA-PBE.

a b c (Å): 5.4613 5.4613 13.8286
angles (deg): 90.00 90.00 120.00
Space group R3 (No. 146, hexagonal axes)
Unique sites:
Mg: 0.0000 0.0000 0.0000 [3 per cell]
Bi: 0.0000 0.0000 0.5115 [3 per cell]
Rh: 0.0000 0.0000 0.2931 [3 per cell]
Rh: 0.0000 0.0000 0.7898 [3 per cell]
O: 0.0202 0.7106 0.3870 [9 per cell]
O: 0.0301 0.4116 0.5573 [9 per cell]

- DOS at the Fermi energy (states/eV/f.u.) = 5.137
- calculated total energy (eV/atom) = -6.180
- energy relative to the elements, uncorrected (eV/atom) = -1.19
- mass density (g/cm³) = 7.5



7.
Crystalline CrMoW3 at its relaxed geometry, computed with GGA-PBE.

a b c (Å): 7.6620 7.6620 9.2269
angles (deg): 90.00 90.00 120.00
Space group R-3 (No. 148, hexagonal axes)
Unique sites:
Cr: 0.0000 0.0000 0.1094 [6 per cell]
Mo: 0.0000 0.0000 0.3591 [6 per cell]
W: 0.0023 0.3401 0.5606 [18 per cell]

- DOS at the Fermi energy (states/eV/f.u.) = 4.230
- calculated total energy (eV/atom) = -11.452
- energy relative to the lowest polymorph listed for this composition (meV per atom) = 0
- mass density (g/cm³) = 14.9



8.
Crystalline Ta3NbH4 at its relaxed geometry, computed with GGA-PBE.

a b c (Å): 6.930 4.870 4.905
angles (deg): 90.00 90.00 90.00
Space group Pmn2_1 (No. 31)
Unique sites:
Ta: 0.000 0.246 0.000 [2 per cell]
Ta: 0.250 0.254 0.500 [4 per cell]
Nb: 0.000 0.752 0.500 [2 per cell]
H: 0.000 0.374 0.372 [2 per cell]
H: 0.000 0.621 0.877 [2 per cell]
H: 0.249 0.122 0.874 [4 per cell]

- DOS at the Fermi energy (states/eV/f.u.) = 2.723
- calculated total energy (eV/atom) = -7.550
- mass density (g/cm³) = 12.8



9.
Crystalline Rb8BiAu2 at its relaxed geometry, computed with GGA-PBE.

a b c (Å): 11.052 15.986 6.749
angles (deg): 90.00 104.37 90.00
Space group C2/m (No. 12)
Unique sites:
Rb: 0.000 0.238 0.000 [4 per cell]
Rb: 0.139 0.500 0.808 [4 per cell]
Rb: 0.185 0.127 0.582 [8 per cell]
Bi: 0.000 0.000 0.000 [2 per cell]
Au: 0.000 0.317 0.500 [4 per cell]

- DOS at the Fermi energy (states/eV/f.u.) = 7.282
- calculated total energy (eV/atom) = -1.836
- energy relative to the lowest polymorph listed for this composition (meV per atom) = 0
- mass density (g/cm³) = 3.7



10.
Crystalline PrLuNiPt at its relaxed geometry, computed with GGA-PBE.

a b c (Å): 6.978 6.978 6.978
angles (deg): 90.00 90.00 90.00
Space group F-43m (No. 216)
Unique sites:
Pr: 0.000 0.000 0.000 [4 per cell]
Lu: 0.000 0.000 0.500 [4 per cell]
Ni: 0.250 0.250 0.250 [4 per cell]
Pt: 0.250 0.250 0.750 [4 per cell]

- DOS at the Fermi energy (states/eV/f.u.) = 3.766
- calculated total energy (eV/atom) = -5.992
- mass density (g/cm³) = 11.1



11.
Crystalline K2Tl10In at its relaxed geometry, computed with GGA-PBE.

a b c (Å): 11.527 13.056 6.980
angles (deg): 90.00 90.00 90.00
Space group Pbam (No. 55)
Unique sites:
K: 0.138 0.122 0.000 [4 per cell]
Tl: 0.036 0.881 0.500 [4 per cell]
Tl: 0.072 0.685 0.231 [8 per cell]
Tl: 0.186 0.301 0.500 [4 per cell]
Tl: 0.238 0.052 0.500 [4 per cell]
In: 0.000 0.500 0.500 [2 per cell]

- DOS at the Fermi energy (states/eV/f.u.) = 6.738
- calculated total energy (eV/atom) = -2.153
- mass density (g/cm³) = 7.1



12.
Crystalline Y2HoTi at its relaxed geometry, computed with GGA-PBE.

a b c (Å): 3.3644 3.3644 35.1477
angles (deg): 90.00 90.00 120.00
Space group R-3m (No. 166, hexagonal axes)
Unique sites:
Y: 0.0000 0.0000 0.0839 [6 per cell]
Ho: 0.0000 0.0000 0.5000 [3 per cell]
Ti: 0.0000 0.0000 0.0000 [3 per cell]

- DOS at the Fermi energy (states/eV/f.u.) = 6.158
- calculated total energy (eV/atom) = -5.921
- energy relative to the lowest polymorph listed for this composition (meV per atom) = 253
- mass density (g/cm³) = 5.6



13.
Crystalline Ba4Pu3PbO12 at its relaxed geometry, computed with GGA-PBE.

a b c (Å): 8.890 8.890 8.890
angles (deg): 90.00 90.00 90.00
Space group Im-3m (No. 229)
Unique sites:
Ba: 0.250 0.250 0.250 [8 per cell]
Pu: 0.000 0.000 0.500 [6 per cell]
Pb: 0.000 0.000 0.000 [2 per cell]
O: 0.000 0.000 0.269 [12 per cell]
O: 0.000 0.250 0.500 [12 per cell]

- DOS at the Fermi energy (states/eV/f.u.) = 18.380
- calculated total energy (eV/atom) = -8.389
- energy relative to the elements, uncorrected (eV/atom) = -2.69
- mass density (g/cm³) = 7.9



14.
Crystalline CrTcP at its relaxed geometry, computed with GGA-PBE.

a b c (Å): 2.812 3.810 7.151
angles (deg): 90.00 90.00 90.00
Space group Imm2 (No. 44)
Unique sites:
Cr: 0.000 0.000 0.000 [2 per cell]
Tc: 0.000 0.000 0.668 [2 per cell]
P: 0.000 0.000 0.332 [2 per cell]

- DOS at the Fermi energy (states/eV/f.u.) = 2.202
- calculated total energy (eV/atom) = -8.558
- energy relative to the lowest polymorph listed for this composition (meV per atom) = 310
- mass density (g/cm³) = 7.8



15.
Crystalline Sr2BeW at its relaxed geometry, computed with GGA-PBE.

a b c (Å): 4.204 4.204 21.348
angles (deg): 90.00 90.00 90.00
Space group I-42d (No. 122)
Unique sites:
Sr: 0.242 0.250 0.125 [8 per cell]
Be: 0.000 0.000 0.000 [4 per cell]
W: 0.000 0.000 0.500 [4 per cell]

- DOS at the Fermi energy (states/eV/f.u.) = 1.961
- calculated total energy (eV/atom) = -3.360
- mass density (g/cm³) = 6.5



16.
Crystalline HfMo2S at its relaxed geometry, computed with GGA-PBE.

a b c (Å): 3.670 3.670 20.677
angles (deg): 90.00 90.00 90.00
Space group I-42d (No. 122)
Unique sites:
Hf: 0.000 0.000 0.000 [4 per cell]
Mo: 0.245 0.250 0.625 [8 per cell]
S: 0.000 0.000 0.500 [4 per cell]

- DOS at the Fermi energy (states/eV/f.u.) = 3.229
- calculated total energy (eV/atom) = -8.830
- energy relative to the elements, uncorrected (eV/atom) = 0.11
- mass density (g/cm³) = 9.6



17.
Crystalline BaHfCrCl2 at its relaxed geometry, computed with GGA-PBE.

a b c (Å): 4.972 4.972 7.671
angles (deg): 90.00 90.00 90.00
Space group P4/mmm (No. 123)
Unique sites:
Ba: 0.000 0.000 0.000 [1 per cell]
Hf: 0.000 0.000 0.500 [1 per cell]
Cr: 0.500 0.500 0.000 [1 per cell]
Cl: 0.000 0.500 0.500 [2 per cell]

- DOS at the Fermi energy (states/eV/f.u.) = 3.280
- calculated total energy (eV/atom) = -4.996
- energy relative to the elements, uncorrected (eV/atom) = 0.04
- mass density (g/cm³) = 3.8



18.
Crystalline RbSm2Pu3Te6 at its relaxed geometry, computed with GGA-PBE.

a b c (Å): 19.736 4.473 9.215
angles (deg): 90.00 102.68 90.00
Space group C2/m (No. 12)
Unique sites:
Rb: 0.000 0.000 0.000 [2 per cell]
Sm: 0.169 0.500 0.341 [4 per cell]
Pu: 0.000 0.000 0.500 [2 per cell]
Pu: 0.163 0.500 0.834 [4 per cell]
Te: 0.004 0.500 0.273 [4 per cell]
Te: 0.166 0.000 0.587 [4 per cell]
Te: 0.175 0.000 0.092 [4 per cell]

- DOS at the Fermi energy (states/eV/f.u.) = 44.170
- calculated total energy (eV/atom) = -7.178
- energy relative to the elements, uncorrected (eV/atom) = -1.16
- mass density (g/cm³) = 7.9



19.
Crystalline BeBPdAu at its relaxed geometry, computed with GGA-PBE.

a b c (Å): 3.246 3.465 4.454
angles (deg): 90.00 110.88 90.00
Space group Pm (No. 6)
Unique sites:
Be: 0.000 0.000 0.000 [1 per cell]
B: 0.871 0.500 0.729 [1 per cell]
Pd: 0.587 0.500 0.167 [1 per cell]
Au: 0.288 0.000 0.574 [1 per cell]

- DOS at the Fermi energy (states/eV/f.u.) = 0.694
- calculated total energy (eV/atom) = -4.645
- energy relative to the lowest polymorph listed for this composition (meV per atom) = 68
- mass density (g/cm³) = 11.5



20.
Crystalline FeCo3Bi at its relaxed geometry, computed with GGA-PBE.

a b c (Å): 4.719 4.719 4.719
angles (deg): 90.00 90.00 90.00
Space group Pm-3m (No. 221)
Unique sites:
Fe: 0.000 0.000 0.000 [1 per cell]
Co: 0.000 0.500 0.500 [3 per cell]
Bi: 0.500 0.500 0.500 [1 per cell]

- DOS at the Fermi energy (states/eV/f.u.) = 3.908
- calculated total energy (eV/atom) = -4.933
- energy relative to the lowest polymorph listed for this composition (meV per atom) = 900
- mass density (g/cm³) = 7.0